Entry 1:
## Ac2MnZn3Ge4 (PBE-GGA)

Data for a relaxed structure of Ac2MnZn3Ge4.

The value obtained for the formation energy is -4.1 eV per formula unit.

It has space group P-4m2 (No. 115), with a = 4.468 Å, b = 4.468 Å, c = 10.558 Å, α = 90.00°, β = 90.00° and γ = 90.00°. The distinct sites, in fractional coordinates, are Ac at (0.000, 0.500, 0.245), Mn at (0.000, 0.000, 0.500), Zn at (0.000, 0.500, 0.874), Zn at (0.500, 0.500, 0.500), Ge at (0.000, 0.000, 0.000), Ge at (0.000, 0.500, 0.631) and Ge at (0.500, 0.500, 0.000).

Entry 2:
## Cs2NpCdTe4 (PBE-GGA)

Data for a relaxed structure of Cs2NpCdTe4.

The uncorrected energy comes out at -66.78 eV per cell.

It has space group I-42m (No. 121), with a = 9.343 Å, b = 9.343 Å, c = 7.775 Å, α = 90.00°, β = 90.00° and γ = 90.00°. The distinct sites, in fractional coordinates, are Cs at (0.000, 0.500, 0.000), Np at (0.000, 0.000, 0.000), Cd at (0.000, 0.000, 0.500) and Te at (0.167, 0.167, 0.256).

Entry 3:
## TlSnBr2 (PBE-GGA)

Data for a relaxed structure of TlSnBr2.

Its polymorph energy (0 for the lowest one) is 1.56 kJ/mol of atoms.

It has space group Fm-3m (No. 225), with a = 7.817 Å, b = 7.817 Å, c = 7.817 Å, α = 90.00°, β = 90.00° and γ = 90.00°. The distinct sites, in fractional coordinates, are Tl at (0.000, 0.000, 0.000), Sn at (0.000, 0.000, 0.500) and Br at (0.250, 0.250, 0.250).

Entry 4:
## Li2PdF8 (PBE-GGA)

Data for a relaxed structure of Li2PdF8.

The uncorrected energy comes out at -83.34 eV per cell.

It has space group C2/m (No. 12), with a = 8.799 Å, b = 6.660 Å, c = 4.925 Å, α = 90.00°, β = 110.12° and γ = 90.00°. The distinct sites, in fractional coordinates, are Li at (0.180, 0.000, 0.414), Pd at (0.000, 0.500, 0.000), F at (0.064, 0.000, 0.704), F at (0.136, 0.500, 0.769) and F at (0.142, 0.305, 0.254).

Entry 5:
## CdTc2HgCl (PBE-GGA)

Data for a relaxed structure of CdTc2HgCl.

The uncorrected energy comes out at -15.77 eV per cell.

It has space group P4/mmm (No. 123), with a = 5.348 Å, b = 5.348 Å, c = 5.387 Å, α = 90.00°, β = 90.00° and γ = 90.00°. The distinct sites, in fractional coordinates, are Cd at (0.000, 0.000, 0.000), Tc at (0.000, 0.500, 0.500), Hg at (0.000, 0.000, 0.500) and Cl at (0.500, 0.500, 0.000).

Entry 6:
## PmNdTiN3 (PBE-GGA)

Data for a relaxed structure of PmNdTiN3.

The uncorrected energy comes out at -99.76 eV per cell.

It has space group P2_1/m (No. 11), with a = 7.429 Å, b = 3.616 Å, c = 7.804 Å, α = 90.00°, β = 96.17° and γ = 90.00°. The distinct sites, in fractional coordinates, are Pm at (0.158, 0.250, 0.154), Nd at (0.378, 0.750, 0.828), Ti at (0.096, 0.250, 0.598), N at (0.101, 0.250, 0.847), N at (0.160, 0.750, 0.522) and N at (0.385, 0.750, 0.132).

Entry 7:
## Ca3ScAl (PBE-GGA)

Data for a relaxed structure of Ca3ScAl.

Its polymorph energy (0 for the lowest one) is 48.00 kJ/mol of atoms. The value obtained for the formation energy is 4.5 eV per formula unit.

It has space group Pm-3m (No. 221), with a = 5.830 Å, b = 5.830 Å, c = 5.830 Å, α = 90.00°, β = 90.00° and γ = 90.00°. The distinct sites, in fractional coordinates, are Ca at (0.000, 0.000, 0.500), Sc at (0.000, 0.000, 0.000) and Al at (0.500, 0.500, 0.500).

Entry 8:
## Sm6HgRu2 (PBE-GGA)

Data for a relaxed structure of Sm6HgRu2.

Its polymorph energy (0 for the lowest one) is 0.00 kJ/mol of atoms. The value obtained for the formation energy is -2.7 eV per formula unit.

It has space group Immm (No. 71), with a = 9.544 Å, b = 9.687 Å, c = 10.597 Å, α = 90.00°, β = 90.00° and γ = 90.00°. The distinct sites, in fractional coordinates, are Sm at (0.000, 0.201, 0.238), Sm at (0.188, 0.500, 0.171), Sm at (0.215, 0.318, 0.500), Hg at (0.000, 0.000, 0.000), Hg at (0.000, 0.000, 0.500), Ru at (0.000, 0.326, 0.000) and Ru at (0.000, 0.500, 0.374).